Li3Sm12Rh5 | GGA-PBE | relaxed

a b c (Å): 14.9991 14.9991 14.9991
angles (deg): 109.47 109.47 109.47
Closest atoms and distances in Å follow each position.
Fractional coordinates of all 80 atoms:
Sm1 0.5909 0.7059 0.6766  2 Rh 2.65-2.78
Rh1 0.5000 0.0000 0.5000  6 Sm 2.78
Sm2 0.0909 0.9144 0.3850  2 Rh 2.65-2.78
Sm3 0.9144 0.8234 0.5293  2 Rh 2.65-2.78
Sm4 0.8234 0.9091 0.2941  2 Rh 2.65-2.78
Li1 0.3750 0.6250 0.2500  8 Sm 3.35-3.41
Sm5 0.4144 0.3850 0.5909  2 Rh 2.65-2.78
Rh2 0.0000 0.0000 0.5000  6 Sm 2.78
Sm6 0.6766 0.4707 0.5856  2 Rh 2.65-2.78
Li2 0.1250 0.8750 0.7500  8 Sm 3.35-3.41
Rh3 0.7500 0.1250 0.8750  4 Sm 2.65
Rh4 0.0000 0.5000 0.5000  6 Sm 2.78
Sm7 0.5856 0.6150 0.4091  2 Rh 2.65-2.78
Rh5 0.0000 0.5000 0.0000  6 Sm 2.78
Rh6 0.5000 0.5000 0.5000  6 Sm 2.78
Sm8 0.3850 0.4144 0.0909  2 Rh 2.65-2.78
Li3 0.6250 0.3750 0.7500  8 Sm 3.35-3.41
Sm9 0.7941 0.4707 0.3850  2 Rh 2.65-2.78
Li4 0.2500 0.6250 0.8750  8 Sm 3.35-3.41
Rh7 0.8750 0.6250 0.7500  4 Sm 2.65
Sm10 0.5856 0.9707 0.6766  2 Rh 2.65-2.78
Sm11 0.2059 0.5293 0.6150  2 Rh 2.65-2.78
Sm12 0.3850 0.9707 0.7941  2 Rh 2.65-2.78
Sm13 0.5909 0.8850 0.4144  2 Rh 2.65-2.78
Sm14 0.3234 0.5293 0.4144  2 Rh 2.65-2.78
Rh8 0.2500 0.3750 0.6250  4 Sm 2.65
Sm15 0.2059 0.6766 0.0909  2 Rh 2.65-2.78
Li5 0.8750 0.7500 0.1250  8 Sm 3.35-3.41
Sm16 0.8234 0.9144 0.0293  2 Rh 2.65-2.78
Li6 0.7500 0.8750 0.6250  8 Sm 3.35-3.41
Sm17 0.0856 0.1766 0.4707  2 Rh 2.65-2.78
Li7 0.6250 0.2500 0.3750  8 Sm 3.35-3.41
Sm18 0.7941 0.3234 0.9091  2 Rh 2.65-2.78
Rh9 0.2500 0.8750 0.1250  4 Sm 2.65
Sm19 0.7059 0.1150 0.0293  2 Rh 2.65-2.78
Sm20 0.0293 0.4144 0.8234  2 Rh 2.65-2.78
Sm21 0.4707 0.7941 0.8850  2 Rh 2.65-2.78
Sm22 0.8850 0.2941 0.4707  2 Rh 2.65-2.78
Sm23 0.4091 0.1150 0.5856  2 Rh 2.65-2.78
Sm24 0.3234 0.7941 0.4091  2 Rh 2.65-2.78
Sm25 0.6150 0.0293 0.2059  2 Rh 2.65-2.78
Rh10 0.0000 0.0000 0.0000  6 Sm 2.78
Sm26 0.1150 0.7059 0.5293  2 Rh 2.65-2.78
Rh11 0.1250 0.7500 0.3750  4 Sm 2.65
Sm27 0.2941 0.8850 0.9707  2 Rh 2.65-2.78
Li8 0.7500 0.3750 0.1250  8 Sm 3.35-3.41
Sm28 0.9091 0.8234 0.7941  2 Rh 2.65-2.78
Li9 0.3750 0.7500 0.6250  8 Sm 3.35-3.41
Sm29 0.2941 0.4091 0.8234  2 Rh 2.65-2.78
Rh12 0.6250 0.7500 0.8750  4 Sm 2.65
Sm30 0.1150 0.4091 0.0856  2 Rh 2.65-2.78
Sm31 0.0856 0.9091 0.1150  2 Rh 2.65-2.78
Sm32 0.6766 0.2059 0.5909  2 Rh 2.65-2.78
Sm33 0.1766 0.0856 0.9707  2 Rh 2.65-2.78
Sm34 0.0909 0.1766 0.2059  2 Rh 2.65-2.78
Rh13 0.3750 0.2500 0.1250  4 Sm 2.65
Rh14 0.1250 0.3750 0.2500  4 Sm 2.65
Sm35 0.7059 0.5909 0.1766  2 Rh 2.65-2.78
Sm36 0.5293 0.2059 0.1150  2 Rh 2.65-2.78
Li10 0.2500 0.1250 0.3750  8 Sm 3.35-3.41
Sm37 0.6150 0.5856 0.9091  2 Rh 2.65-2.78
Rh15 0.5000 0.5000 0.0000  6 Sm 2.78
Sm38 0.1766 0.0909 0.7059  2 Rh 2.65-2.78
Rh16 0.5000 0.0000 0.0000  6 Sm 2.78
Sm39 0.5293 0.3234 0.9144  2 Rh 2.65-2.78
Sm40 0.9091 0.0856 0.6150  2 Rh 2.65-2.78
Rh17 0.6250 0.8750 0.2500  4 Sm 2.65
Sm41 0.0293 0.6150 0.7059  2 Rh 2.65-2.78
Sm42 0.4144 0.0293 0.3234  2 Rh 2.65-2.78
Li11 0.8750 0.1250 0.2500  8 Sm 3.35-3.41
Rh18 0.3750 0.1250 0.7500  4 Sm 2.65
Li12 0.1250 0.2500 0.8750  8 Sm 3.35-3.41
Sm43 0.4091 0.2941 0.3234  2 Rh 2.65-2.78
Sm44 0.8850 0.5909 0.9144  2 Rh 2.65-2.78
Sm45 0.9707 0.3850 0.2941  2 Rh 2.65-2.78
Rh19 0.8750 0.2500 0.6250  4 Sm 2.65
Sm46 0.9144 0.0909 0.8850  2 Rh 2.65-2.78
Sm47 0.4707 0.6766 0.0856  2 Rh 2.65-2.78
Rh20 0.7500 0.6250 0.3750  4 Sm 2.65
Sm48 0.9707 0.5856 0.1766  2 Rh 2.65-2.78

Results
Space group   Ia-3d (230)
E_form   -0.0027 eV/atom

=====

LiSm3Rh | GGA-PBE | relaxed

a b c (Å): 6.4987 10.2108 9.5383
angles (deg): 122.24 90.00 90.00
Closest atoms and distances in Å follow each position.
Fractional coordinates of all 20 atoms:
Rh1 0.7489 0.9999 0.0000  8 Sm 2.86-3.15
Sm1 0.0001 0.9268 0.7216  2 Rh 2.86
Sm2 0.5001 0.5732 0.2784  2 Rh 2.86
Li1 0.3099 0.0001 0.5000  1 Li 2.47
Li2 0.8099 0.4999 0.5000  1 Li 2.47
Sm3 0.5001 0.7939 0.7189  2 Rh 2.87
Sm4 0.9999 0.0732 0.2784  2 Rh 2.86
Rh2 0.2511 0.0001 0.0000  8 Sm 2.86-3.15
Rh3 0.7511 0.4999 0.0000  8 Sm 2.86-3.15
Sm5 0.9999 0.3024 0.1034  4 Rh 3.13-3.15, 2 Li 3.43
Rh4 0.2489 0.5001 0.0000  8 Sm 2.86-3.15
Sm6 0.0001 0.7061 0.2811  2 Rh 2.87
Li3 0.6901 0.9999 0.5000  1 Li 2.47
Li4 0.1901 0.5001 0.5000  1 Li 2.47
Sm7 0.0001 0.6976 0.8966  4 Rh 3.13-3.15, 2 Li 3.43
Sm8 0.5001 0.8024 0.1034  4 Rh 3.13-3.15, 2 Li 3.43
Sm9 0.9999 0.2939 0.7189  2 Rh 2.87
Sm10 0.4999 0.4268 0.7216  2 Rh 2.86
Sm11 0.4999 0.1976 0.8966  4 Rh 3.13-3.15, 2 Li 3.43
Sm12 0.4999 0.2061 0.2811  2 Rh 2.87

Results
Space group   C2/m (12)
E_form   -0.2764 eV/atom

=====

LiSmRh | GGA-PBE | relaxed

a b c (Å): 3.5422 3.5422 5.3088
angles (deg): 109.49 109.49 90.00
Closest atoms and distances in Å follow each position.
Fractional coordinates of all 3 atoms:
Sm1 0.9640 0.9640 0.9280  1 Li 2.76, 4 Rh 2.93
Rh1 0.6268 0.6268 0.2537  4 Li 2.79, 4 Sm 2.93
Li1 0.2592 0.2592 0.5183  1 Sm 2.76, 4 Rh 2.79

Results
Space group   I4mm (107)
E_form   -0.3162 eV/atom

=====

LiSm2Rh | GGA-PBE | relaxed

a b c (Å): 3.9953 3.9953 8.7929
angles (deg): 76.87 76.87 60.00
Closest atoms and distances in Å follow each position.
Fractional coordinates of all 4 atoms:
Sm1 0.2716 0.2716 0.1852  3 Rh 2.79
Rh1 0.0000 0.0000 0.0000  6 Sm 2.79
Li1 0.5000 0.5000 0.5000  6 Sm 3.53
Sm2 0.7284 0.7284 0.8148  3 Rh 2.79

Results
Space group   R-3m (166)
E_form   -0.2997 eV/atom

=====

Li2Sm3Rh7 | GGA-PBE | relaxed

a b c (Å): 5.3672 5.3672 8.9615
angles (deg): 72.57 72.57 60.00
Closest atoms and distances in Å follow each position.
Fractional coordinates of all 12 atoms:
Rh1 0.4158 0.9222 0.2462  2 Li 2.55-2.62, 5 Rh 2.65-2.72
Sm1 0.0000 0.0000 0.0000  6 Li 3.10, 12 Rh 3.39
Li1 0.6643 0.6643 0.0070  6 Rh 2.55-2.62
Rh2 0.4158 0.4158 0.2462  2 Li 2.55-2.62, 5 Rh 2.65-2.72
Rh3 0.5842 0.5842 0.7538  2 Li 2.55-2.62, 5 Rh 2.65-2.72
Rh4 0.0778 0.5842 0.7538  2 Li 2.55-2.62, 5 Rh 2.65-2.72
Sm2 0.1405 0.1405 0.5785  12 Rh 3.06-3.19, 3 Sm 3.37
Li2 0.3357 0.3357 0.9930  6 Rh 2.55-2.62
Rh5 0.5000 0.5000 0.5000  6 Rh 2.65
Rh6 0.9222 0.4158 0.2462  2 Li 2.55-2.62, 5 Rh 2.65-2.72
Sm3 0.8595 0.8595 0.4215  12 Rh 3.06-3.19, 3 Sm 3.37
Rh7 0.5842 0.0778 0.7538  2 Li 2.55-2.62, 5 Rh 2.65-2.72

Results
Space group   R-3m (166)
E_form   -0.5240 eV/atom

=====

LiSm4Rh | GGA-PBE | relaxed

a b c (Å): 7.9027 5.9270 9.3083
angles (deg): 94.57 104.21 124.21
Closest atoms and distances in Å follow each position.
Fractional coordinates of all 12 atoms:
Li1 0.3018 0.5518 0.1036  6 Sm 3.04-3.36, 2 Rh 3.35
Sm1 0.7285 0.8834 0.3982  1 Rh 3.03, 1 Li 3.15
Rh1 0.1952 0.9452 0.8904  6 Sm 2.73-3.03
Sm2 0.2715 0.1166 0.6018  1 Rh 3.03, 1 Li 3.15
Sm3 0.0865 0.9176 0.1765  2 Rh 2.73-2.98, 1 Li 3.04
Sm4 0.1697 0.5148 0.3982  1 Rh 3.03, 1 Li 3.15
Li2 0.6982 0.4482 0.8964  6 Sm 3.04-3.36, 2 Rh 3.35
Sm5 0.4099 0.7411 0.8235  2 Rh 2.73-2.98, 1 Li 3.04
Sm6 0.9135 0.0824 0.8235  2 Rh 2.73-2.98, 1 Li 3.04
Sm7 0.8303 0.4852 0.6018  1 Rh 3.03, 1 Li 3.15
Sm8 0.5901 0.2589 0.1765  2 Rh 2.73-2.98, 1 Li 3.04
Rh2 0.8048 0.0548 0.1096  6 Sm 2.73-3.03

Results
Space group   C2/c (15)
E_form   -0.1073 eV/atom

=====

Li3SmRh2 | GGA-PBE | relaxed

a b c (Å): 4.2083 6.9751 8.2095
angles (deg): 115.89 90.00 107.56
Closest atoms and distances in Å follow each position.
Fractional coordinates of all 12 atoms:
Li1 0.5793 0.1586 0.6797  4 Li 2.58-2.73, 3 Rh 2.64-2.68
Sm1 0.1422 0.2844 0.0214  5 Rh 2.87-2.94, 2 Li 3.16-3.17
Rh1 0.4321 0.8643 0.8193  2 Rh 2.68-2.70, 4 Li 2.68-2.74, 2 Sm 2.88
Li2 0.2793 0.5586 0.4543  4 Li 2.48-2.72, 3 Rh 2.66-2.74
Sm2 0.8578 0.7156 0.9786  5 Rh 2.87-2.94, 2 Li 3.16-3.17
Rh2 0.7894 0.5787 0.2638  6 Li 2.64-2.85, 1 Rh 2.70, 3 Sm 2.87-2.94
Li3 0.0579 0.1159 0.3820  3 Rh 2.68-2.72, 6 Li 2.68-2.98
Rh3 0.2106 0.4213 0.7362  6 Li 2.64-2.85, 1 Rh 2.70, 3 Sm 2.87-2.94
Li4 0.7207 0.4414 0.5457  4 Li 2.48-2.72, 3 Rh 2.66-2.74
Li5 0.9421 0.8841 0.6180  3 Rh 2.68-2.72, 6 Li 2.68-2.98
Li6 0.4207 0.8414 0.3203  4 Li 2.58-2.73, 3 Rh 2.64-2.68
Rh4 0.5679 0.1357 0.1807  2 Rh 2.68-2.70, 4 Li 2.68-2.74, 2 Sm 2.88

Results
Space group   C2/m (12)
E_form   -0.3036 eV/atom

=====

LiSm4Rh2 | GGA-PBE | relaxed

a b c (Å): 8.7876 8.4496 7.1346
angles (deg): 110.32 110.63 116.36
Closest atoms and distances in Å follow each position.
Fractional coordinates of all 14 atoms:
Sm1 0.3602 0.0467 0.2045  3 Rh 2.81-3.01, 1 Li 3.01
Sm2 0.4120 0.5296 0.2215  3 Rh 2.89-3.05, 1 Li 3.01
Sm3 0.0213 0.2495 0.4973  4 Rh 2.80-3.11, 2 Li 3.08-3.10
Rh1 0.1270 0.5873 0.9652  1 Li 2.76, 5 Sm 2.83-3.00
Li1 0.1210 0.5557 0.3347  2 Rh 2.76-2.83, 1 Sm 3.01
Sm4 0.5044 0.7807 0.9080  2 Rh 2.88
Rh2 0.8857 0.9098 0.5496  1 Li 2.78, 6 Sm 2.80-3.03
Sm5 0.7542 0.1488 0.7381  3 Rh 2.88-2.92, 1 Li 3.01
Rh3 0.6891 0.2334 0.1184  1 Li 2.83, 7 Sm 2.88-3.11
Rh4 0.4275 0.3967 0.5697  6 Sm 2.81-3.05, 1 Li 3.14
Sm6 0.7996 0.6087 0.0799  4 Rh 2.98-3.32, 1 Li 3.09
Li2 0.9989 0.0531 0.0262  1 Rh 2.78, 3 Sm 3.01-3.08
Sm7 0.3013 0.0716 0.6876  3 Rh 2.88-3.01
Sm8 0.8477 0.5784 0.5992  3 Rh 2.83-2.88

Results
Space group   P1 (1)
E_form   -0.4373 eV/atom

=====

Q: E_form of number 5 (Li2Sm3Rh7)?
A: -0.5240 eV/atom

=====

Repeat the second record exactly.
LiSm3Rh | GGA-PBE | relaxed

a b c (Å): 6.4987 10.2108 9.5383
angles (deg): 122.24 90.00 90.00
Closest atoms and distances in Å follow each position.
Fractional coordinates of all 20 atoms:
Rh1 0.7489 0.9999 0.0000  8 Sm 2.86-3.15
Sm1 0.0001 0.9268 0.7216  2 Rh 2.86
Sm2 0.5001 0.5732 0.2784  2 Rh 2.86
Li1 0.3099 0.0001 0.5000  1 Li 2.47
Li2 0.8099 0.4999 0.5000  1 Li 2.47
Sm3 0.5001 0.7939 0.7189  2 Rh 2.87
Sm4 0.9999 0.0732 0.2784  2 Rh 2.86
Rh2 0.2511 0.0001 0.0000  8 Sm 2.86-3.15
Rh3 0.7511 0.4999 0.0000  8 Sm 2.86-3.15
Sm5 0.9999 0.3024 0.1034  4 Rh 3.13-3.15, 2 Li 3.43
Rh4 0.2489 0.5001 0.0000  8 Sm 2.86-3.15
Sm6 0.0001 0.7061 0.2811  2 Rh 2.87
Li3 0.6901 0.9999 0.5000  1 Li 2.47
Li4 0.1901 0.5001 0.5000  1 Li 2.47
Sm7 0.0001 0.6976 0.8966  4 Rh 3.13-3.15, 2 Li 3.43
Sm8 0.5001 0.8024 0.1034  4 Rh 3.13-3.15, 2 Li 3.43
Sm9 0.9999 0.2939 0.7189  2 Rh 2.87
Sm10 0.4999 0.4268 0.7216  2 Rh 2.86
Sm11 0.4999 0.1976 0.8966  4 Rh 3.13-3.15, 2 Li 3.43
Sm12 0.4999 0.2061 0.2811  2 Rh 2.87

Results
Space group   C2/m (12)
E_form   -0.2764 eV/atom

=====

Q: Which formula does entry 1 have?
A: Li3Sm12Rh5